(1)
DFT (SCAN) results for a PBEsol-optimized structure of Cs2RbPt.

## Properties
Total energy, eV/atom: -41.49
Fermi-level density of states, states/eV/f.u.: 2.44
Total magnetic moment, μB per cell: 0.0

```
data_Cs2RbPt
_space_group_name_H-M_alt 'P 1'
_space_group_IT_number 1
_cell_length_a 5.9385
_cell_length_b 5.9385
_cell_length_c 5.9385
_cell_angle_alpha 60.00
_cell_angle_beta 60.00
_cell_angle_gamma 60.00
loop_
_space_group_symop_operation_xyz
'x,y,z'
loop_
_atom_site_label
_atom_site_fract_x
_atom_site_fract_y
_atom_site_fract_z
Cs1 0.2500 0.2500 0.2500
Cs2 0.7500 0.7500 0.7500
Rb1 0.0000 0.0000 0.0000
Pt1 0.5000 0.5000 0.5000
```

(2)
DFT (SCAN) results for a PBEsol-optimized structure of CsRe2PtSe.

## Properties
Fermi-level density of states, states/eV/f.u.: 7.12
Formation energy without anion corrections, meV per atom: 4090
Total magnetic moment, μB per cell: 0.3

```
data_CsRe2PtSe
_space_group_name_H-M_alt 'P 1'
_space_group_IT_number 1
_cell_length_a 4.8940
_cell_length_b 4.8940
_cell_length_c 5.2180
_cell_angle_alpha 90.00
_cell_angle_beta 90.00
_cell_angle_gamma 90.00
loop_
_space_group_symop_operation_xyz
'x,y,z'
loop_
_atom_site_label
_atom_site_fract_x
_atom_site_fract_y
_atom_site_fract_z
Cs1 0.0000 0.0000 0.0000
Pt1 0.5000 0.5000 0.5000
Re1 0.0000 0.5000 0.0000
Re2 0.5000 0.0000 0.0000
Se1 0.0000 0.0000 0.5000
```